# GGA-PBE CdSnTeO, optimized geometry
# Calculated total energy ... -3.877 eV per atom
data_CdSnTeO
_chemical_formula_sum 'Cd4 Sn4 Te4 O4'
_cell_length_a 5.300
_cell_length_b 8.567
_cell_length_c 8.890
_cell_angle_alpha 90.00
_cell_angle_beta 90.00
_cell_angle_gamma 90.00
_space_group_name_H-M_alt 'P 21 21 21'
_space_group_IT_number 19
loop_
_space_group_symop_operation_xyz
'x,y,z'
'-x+1/2,-y,z+1/2'
'x+1/2,-y+1/2,-z'
'-x,y+1/2,-z+1/2'
loop_
_atom_site_label
_atom_site_type_symbol
_atom_site_fract_x
_atom_site_fract_y
_atom_site_fract_z
Cd1 Cd 0.207 0.155 0.319
Sn1 Sn 0.172 0.593 0.528
Te1 Te 0.095 0.106 0.630
O1 O 0.045 0.250 0.103



# GGA-PBE ZnCoOsPd, optimized geometry
# Energy of formation from the pure elements ... 310 meV per atom
# Total magnetization ... 12.261 μB per cell
data_ZnCoOsPd
_chemical_formula_sum 'Zn4 Co4 Os4 Pd4'
_cell_length_a 6.063
_cell_length_b 6.063
_cell_length_c 6.063
_cell_angle_alpha 90.00
_cell_angle_beta 90.00
_cell_angle_gamma 90.00
_space_group_name_H-M_alt 'F -4 3 m'
_space_group_IT_number 216
_space_group_name_Hall 'F -4 2 3'
loop_
_atom_site_label
_atom_site_type_symbol
_atom_site_fract_x
_atom_site_fract_y
_atom_site_fract_z
Zn1 Zn 0.000 0.000 0.000
Co1 Co 0.250 0.250 0.250
Os1 Os 0.000 0.000 0.500
Pd1 Pd 0.250 0.250 0.750



# GGA-PBE ReNClF5, optimized geometry
# Calculated total energy ... -5.446 eV per atom
# Total magnetization ... 0.010 μB per cell
data_ReNClF5
_chemical_formula_sum 'Re2 N2 Cl2 F10'
_cell_length_a 4.592
_cell_length_b 7.796
_cell_length_c 5.961
_cell_angle_alpha 90.00
_cell_angle_beta 90.27
_cell_angle_gamma 90.00
_space_group_name_H-M_alt 'P 1 21/m 1'
_space_group_IT_number 11
loop_
_space_group_symop_operation_xyz
'x,y,z'
'-x,-y,-z'
'-x,y+1/2,-z'
'x,-y+1/2,z'
loop_
_atom_site_label
_atom_site_type_symbol
_atom_site_fract_x
_atom_site_fract_y
_atom_site_fract_z
Re1 Re 0.034 0.250 0.205
N1 N 0.238 0.250 0.960
Cl1 Cl 0.436 0.250 0.750
F1 F 0.186 0.750 0.518
F2 F 0.237 0.584 0.893
F3 F 0.249 0.077 0.347



# GGA-PBE CsHfPO, optimized geometry
# Calculated total energy ... -6.916 eV per atom
# Total magnetization ... 0.004 μB per cell
data_CsHfPO
_chemical_formula_sum 'Cs2 Hf2 P2 O2'
_cell_length_a 3.994
_cell_length_b 8.848
_cell_length_c 6.626
_cell_angle_alpha 90.00
_cell_angle_beta 90.00
_cell_angle_gamma 90.00
_space_group_name_H-M_alt 'P m c 21'
_space_group_IT_number 26
loop_
_space_group_symop_operation_xyz
'x,y,z'
'-x,-y,z+1/2'
'-x,y,z'
'x,-y,z+1/2'
loop_
_atom_site_label
_atom_site_type_symbol
_atom_site_fract_x
_atom_site_fract_y
_atom_site_fract_z
Cs1 Cs 0.000 0.162 0.000
Hf1 Hf 0.500 0.398 0.562
P1 P 0.000 0.238 0.495
O1 O 0.500 0.437 0.860



# GGA-PBE LiMgAl2Cu4, optimized geometry
# Calculated total energy ... -3.436 eV per atom
data_LiMgAl2Cu4
_chemical_formula_sum 'Li4 Mg4 Al8 Cu16'
_cell_length_a 5.895
_cell_length_b 5.895
_cell_length_c 12.140
_cell_angle_alpha 90.00
_cell_angle_beta 90.00
_cell_angle_gamma 90.00
_space_group_name_H-M_alt 'I 41/a m d'
_space_group_IT_number 141
loop_
_space_group_symop_operation_xyz
'x,y,z'
'-x,-y,-z'
'-y+1/4,x+3/4,z+1/4'
'y+1/4,-x+3/4,-z+1/4'
'-x+1/2,-y,z+1/2'
'x+1/2,y,-z+1/2'
'y+1/4,-x+1/4,z+3/4'
'-y+1/4,x+1/4,-z+3/4'
'x,-y,-z'
'-x,y,z'
'-y+1/4,-x+1/4,-z+3/4'
'y+1/4,x+1/4,z+3/4'
'-x+1/2,y,-z+1/2'
'x+1/2,-y,z+1/2'
'y+1/4,x+3/4,-z+1/4'
'-y+1/4,-x+3/4,z+1/4'
'x+1/2,y+1/2,z+1/2'
'-x+1/2,-y+1/2,-z+1/2'
'-y+3/4,x+1/4,z+3/4'
'y+3/4,-x+1/4,-z+3/4'
'-x,-y+1/2,z'
'x,y+1/2,-z'
'y+3/4,-x+3/4,z+1/4'
'-y+3/4,x+3/4,-z+1/4'
'x+1/2,-y+1/2,-z+1/2'
'-x+1/2,y+1/2,z+1/2'
'-y+3/4,-x+3/4,-z+1/4'
'y+3/4,x+3/4,z+1/4'
'-x,y+1/2,-z'
'x,-y+1/2,z'
'y+3/4,x+1/4,-z+3/4'
'-y+3/4,-x+1/4,z+3/4'
loop_
_atom_site_label
_atom_site_type_symbol
_atom_site_fract_x
_atom_site_fract_y
_atom_site_fract_z
Li1 Li 0.000 0.250 0.375
Mg1 Mg 0.000 0.250 0.875
Al1 Al 0.000 0.250 0.121
Cu1 Cu 0.234 0.000 0.500



# GGA-PBE LuNiSnHg, optimized geometry
# Calculated total energy ... -3.826 eV per atom
# Total magnetization ... 0.001 μB per cell
data_LuNiSnHg
_chemical_formula_sum 'Lu4 Ni4 Sn4 Hg4'
_cell_length_a 6.856
_cell_length_b 6.856
_cell_length_c 6.856
_cell_angle_alpha 90.00
_cell_angle_beta 90.00
_cell_angle_gamma 90.00
_space_group_name_H-M_alt 'F -4 3 m'
_space_group_IT_number 216
_space_group_name_Hall 'F -4 2 3'
loop_
_atom_site_label
_atom_site_type_symbol
_atom_site_fract_x
_atom_site_fract_y
_atom_site_fract_z
Lu1 Lu 0.000 0.000 0.000
Ni1 Ni 0.250 0.250 0.750
Sn1 Sn 0.000 0.000 0.500
Hg1 Hg 0.250 0.250 0.250



# GGA-PBE InReTe4Au3, optimized geometry
# Calculated total energy ... -3.922 eV per atom
# Total magnetization ... 2.998 μB per cell
data_InReTe4Au3
_chemical_formula_sum 'In1 Re1 Te4 Au3'
_cell_length_a 6.603
_cell_length_b 6.603
_cell_length_c 6.603
_cell_angle_alpha 90.00
_cell_angle_beta 90.00
_cell_angle_gamma 90.00
_space_group_name_H-M_alt 'P -4 3 m'
_space_group_IT_number 215
_space_group_name_Hall 'P -4 2 3'
loop_
_atom_site_label
_atom_site_type_symbol
_atom_site_fract_x
_atom_site_fract_y
_atom_site_fract_z
In1 In 0.000 0.000 0.000
Re1 Re 0.500 0.500 0.500
Te1 Te 0.268 0.268 0.268
Au1 Au 0.000 0.500 0.500



# GGA-PBE HfCuGeAu, optimized geometry
# Calculated total energy ... -5.486 eV per atom
# Total magnetization ... 0.006 μB per cell
data_HfCuGeAu
_chemical_formula_sum 'Hf4 Cu4 Ge4 Au4'
_cell_length_a 6.517
_cell_length_b 6.517
_cell_length_c 6.517
_cell_angle_alpha 90.00
_cell_angle_beta 90.00
_cell_angle_gamma 90.00
_space_group_name_H-M_alt 'F -4 3 m'
_space_group_IT_number 216
_space_group_name_Hall 'F -4 2 3'
loop_
_atom_site_label
_atom_site_type_symbol
_atom_site_fract_x
_atom_site_fract_y
_atom_site_fract_z
Hf1 Hf 0.000 0.000 0.000
Cu1 Cu 0.250 0.250 0.750
Ge1 Ge 0.000 0.000 0.500
Au1 Au 0.250 0.250 0.250



# GGA-PBE YHoNCl3, optimized geometry
# Calculated total energy ... -6.267 eV per atom
# Total magnetization ... 0.013 μB per cell
data_YHoNCl3
_chemical_formula_sum 'Y4 Ho4 N4 Cl12'
_cell_length_a 15.909
_cell_length_b 3.822
_cell_length_c 10.509
_cell_angle_alpha 90.00
_cell_angle_beta 120.50
_cell_angle_gamma 90.00
_space_group_name_H-M_alt 'C 1 2/m 1'
_space_group_IT_number 12
loop_
_space_group_symop_operation_xyz
'x,y,z'
'-x,-y,-z'
'-x,y,-z'
'x,-y,z'
'x+1/2,y+1/2,z'
'-x+1/2,-y+1/2,-z'
'-x+1/2,y+1/2,-z'
'x+1/2,-y+1/2,z'
loop_
_atom_site_label
_atom_site_type_symbol
_atom_site_fract_x
_atom_site_fract_y
_atom_site_fract_z
Y1 Y 0.086 0.000 0.453
Ho1 Ho 0.137 0.500 0.793
N1 N 0.077 0.000 0.658
Cl1 Cl 0.049 0.500 0.243
Cl2 Cl 0.165 0.000 0.015
Cl3 Cl 0.225 0.500 0.615



# GGA-PBE Fe2Te3P, optimized geometry
# Calculated total energy ... -5.375 eV per atom
# Total magnetization ... 0.356 μB per cell
data_Fe2Te3P
_chemical_formula_sum 'Fe2 Te3 P1'
_cell_length_a 5.162
_cell_length_b 3.645
_cell_length_c 6.104
_cell_angle_alpha 90.00
_cell_angle_beta 91.51
_cell_angle_gamma 90.00
_space_group_name_H-M_alt 'P 1 m 1'
_space_group_IT_number 6
loop_
_space_group_symop_operation_xyz
'x,y,z'
'x,-y,z'
loop_
_atom_site_label
_atom_site_type_symbol
_atom_site_fract_x
_atom_site_fract_y
_atom_site_fract_z
Fe1 Fe 0.000 0.000 0.000
Fe2 Fe 0.459 0.500 0.469
Te1 Te 0.270 0.500 0.839
Te2 Te 0.712 0.500 0.129
Te3 Te 0.788 0.000 0.609
P1 P 0.209 0.000 0.334



# GGA-PBE Y4CuGeN2, optimized geometry
# Calculated total energy ... -7.318 eV per atom
# Total magnetization ... 0.016 μB per cell
data_Y4CuGeN2
_chemical_formula_sum 'Y4 Cu1 Ge1 N2'
_cell_length_a 3.5062
_cell_length_b 3.5062
_cell_length_c 14.3097
_cell_angle_alpha 90.00
_cell_angle_beta 90.00
_cell_angle_gamma 120.00
_space_group_name_H-M_alt 'P -6 m 2'
_space_group_IT_number 187
_space_group_name_Hall 'P -6 2'
loop_
_atom_site_label
_atom_site_type_symbol
_atom_site_fract_x
_atom_site_fract_y
_atom_site_fract_z
Y1 Y 0.0000 0.0000 0.1479
Y2 Y 0.3333 0.6667 0.3394
Cu1 Cu 0.3333 0.6667 0.0000
Ge1 Ge 0.0000 0.0000 0.5000
N1 N 0.6667 0.3333 0.2504



# GGA-PBE Zr3Sn5Au, optimized geometry
# Calculated total energy ... -5.381 eV per atom
# Total magnetization ... 0.056 μB per cell
data_Zr3Sn5Au
_chemical_formula_sum 'Zr3 Sn5 Au1'
_cell_length_a 5.9761
_cell_length_b 5.9761
_cell_length_c 7.7981
_cell_angle_alpha 90.00
_cell_angle_beta 90.00
_cell_angle_gamma 120.00
_space_group_name_H-M_alt 'P 6/m m m'
_space_group_IT_number 191
_space_group_name_Hall '-P 6 2'
loop_
_atom_site_label
_atom_site_type_symbol
_atom_site_fract_x
_atom_site_fract_y
_atom_site_fract_z
Zr1 Zr 0.0000 0.5000 0.0000
Sn1 Sn 0.0000 0.0000 0.0000
Sn2 Sn 0.3333 0.6667 0.3225
Au1 Au 0.0000 0.0000 0.5000